Below is a geometry-optimized DyHfPO structure, with properties calculated at the GGA-PBE level.

**Distance to the lowest polymorph of the same formula**: 0.0 meV per atom
**Raw total energy**: -65.81 eV per cell

CIF file:
```
data_DyHfPO
_chemical_formula_sum 'Dy2 Hf2 P2 O2'
_space_group_name_H-M_alt 'P 4/n m m'
_space_group_IT_number 129
_cell_length_a 4.1194
_cell_length_b 4.1194
_cell_length_c 8.4658
_cell_angle_alpha 90.00
_cell_angle_beta 90.00
_cell_angle_gamma 90.00
loop_
_space_group_symop_operation_xyz
'x,y,z'
'-x,-y,-z'
'-y+1/2,x,z'
'y+1/2,-x,-z'
'-x+1/2,-y+1/2,z'
'x+1/2,y+1/2,-z'
'y,-x+1/2,z'
'-y,x+1/2,-z'
'x+1/2,-y,-z'
'-x+1/2,y,z'
'-y,-x,-z'
'y,x,z'
'-x,y+1/2,-z'
'x,-y+1/2,z'
'y+1/2,x+1/2,-z'
'-y+1/2,-x+1/2,z'
loop_
_atom_site_label
_atom_site_fract_x
_atom_site_fract_y
_atom_site_fract_z
Dy1 0.2500 0.2500 0.1174
Hf1 0.2500 0.7500 0.5000
P1 0.2500 0.2500 0.6848
O1 0.2500 0.7500 0.0000
```